[1]
A plane-wave DFT calculation with PBE-GGA was carried out for an optimized crystal structure of SrTl3Au8.

Unit cell a=10.1256 b=10.1256 c=10.1256 alpha=32.63 beta=32.63 gamma=32.63
Atoms (fractional coordinates):
1 Sr 0.0000 0.0000 0.0000
2 Tl 0.3816 0.3816 0.3816
3 Tl 0.5016 0.5016 0.5016
4 Tl 0.8720 0.8720 0.8720
5 Au 0.1869 0.1869 0.1869
6 Au 0.4361 0.9365 0.9365
7 Au 0.4371 0.4371 0.9402
8 Au 0.4371 0.9402 0.4371
9 Au 0.6866 0.6866 0.6866
10 Au 0.9365 0.4361 0.9365
11 Au 0.9365 0.9365 0.4361
12 Au 0.9402 0.4371 0.4371

Results
DOS at the Fermi energy (states/eV per atom): 0.4985
Mass density (Mg/m³): 14.08
ΔH_f (0 K) (kJ/mol of atoms): -18.8
E_tot (eV per formula unit): -37.34



[2]
A plane-wave DFT calculation with PBE-GGA was carried out for an optimized crystal structure of La2NdThAs4.

Unit cell a=7.4622 b=4.3146 c=7.4863 alpha=90.00 beta=109.39 gamma=90.00
Atoms (fractional coordinates):
1 La 0.0000 0.0000 0.0000
2 La 0.5000 0.5000 0.0000
3 Nd 0.0000 0.5000 0.5000
4 Th 0.5000 0.0000 0.5000
5 As 0.2507 0.0000 0.7437
6 As 0.2546 0.5000 0.2576
7 As 0.7454 0.5000 0.7424
8 As 0.7493 0.0000 0.2563

Results
DOS at the Fermi energy (states/eV per atom): 0.2227
Mass density (Mg/m³): 6.97
ΔH_f (0 K) (kJ/mol of atoms): -148.9
E_tot (eV per formula unit): -52.99



[3]
A plane-wave DFT calculation with PBE-GGA was carried out for an optimized crystal structure of LaPa2Ni6.

Unit cell a=7.5902 b=7.5902 c=7.5902 alpha=153.39 beta=125.01 gamma=62.10
Atoms (fractional coordinates):
1 La 0.0000 0.0000 0.0000
2 Pa 0.3551 0.8551 0.5000
3 Pa 0.6449 0.1449 0.5000
4 Ni 0.0281 0.3201 0.7081
5 Ni 0.3252 0.5000 0.8252
6 Ni 0.3880 0.6799 0.7081
7 Ni 0.6120 0.3201 0.2919
8 Ni 0.6748 0.5000 0.1748
9 Ni 0.9719 0.6799 0.2919

Results
DOS at the Fermi energy (states/eV per atom): 0.9202
Mass density (Mg/m³): 9.94
ΔH_f (0 K) (kJ/mol of atoms): -25.0
E_tot (eV per formula unit): -60.93



[4]
A plane-wave DFT calculation with PBE-GGA was carried out for an optimized crystal structure of Cd2PbBr.

Unit cell a=4.6897 b=5.7641 c=8.3751 alpha=90.00 beta=90.00 gamma=90.00
Atoms (fractional coordinates):
1 Cd 0.0000 0.0000 0.2478
2 Cd 0.0000 0.0000 0.7522
3 Cd 0.5000 0.5000 0.2478
4 Cd 0.5000 0.5000 0.7522
5 Pb 0.0000 0.5000 0.5000
6 Pb 0.5000 0.0000 0.5000
7 Br 0.0000 0.5000 0.0000
8 Br 0.5000 0.0000 0.0000

Results
DOS at the Fermi energy (states/eV per atom): 0.3035
Mass density (Mg/m³): 7.51
E_tot (eV per formula unit): -7.74



[5]
A plane-wave DFT calculation with PBE-GGA was carried out for an optimized crystal structure of Y2TiHgH.

Unit cell a=5.0563 b=5.0563 c=3.9630 alpha=90.00 beta=90.00 gamma=90.00
Atoms (fractional coordinates):
1 Y 0.0000 0.5000 0.0000
2 Y 0.5000 0.0000 0.0000
3 Ti 0.0000 0.0000 0.5000
4 Hg 0.5000 0.5000 0.5000
5 H 0.0000 0.0000 0.0000

Results
DOS at the Fermi energy (states/eV per atom): 0.8671
Mass density (Mg/m³): 7.00
E_tot (eV per formula unit): -25.59



[6]
A plane-wave DFT calculation with PBE-GGA was carried out for an optimized crystal structure of NaMgSn3.

Unit cell a=8.0865 b=8.0865 c=5.8970 alpha=91.09 beta=91.09 gamma=46.91
Atoms (fractional coordinates):
1 Na 0.0839 0.0839 0.2540
2 Na 0.9161 0.9161 0.7460
3 Mg 0.5000 0.5000 0.0000
4 Mg 0.5000 0.5000 0.5000
5 Sn 0.1045 0.6087 0.2416
6 Sn 0.3201 0.3201 0.7433
7 Sn 0.3913 0.8955 0.7584
8 Sn 0.6087 0.1045 0.2416
9 Sn 0.6799 0.6799 0.2567
10 Sn 0.8955 0.3913 0.7584

Results
DOS at the Fermi energy (states/eV per atom): 0.4511
Mass density (Mg/m³): 4.76
ΔH_f (0 K) (kJ/mol of atoms): -5.5
E_tot (eV per formula unit): -15.21



[7]
A plane-wave DFT calculation with PBE-GGA was carried out for an optimized crystal structure of LuPuCoRh.

Unit cell a=6.6948 b=6.6948 c=6.6948 alpha=90.00 beta=90.00 gamma=90.00
Atoms (fractional coordinates):
1 Lu 0.0000 0.0000 0.0000
2 Lu 0.0000 0.5000 0.5000
3 Lu 0.5000 0.0000 0.5000
4 Lu 0.5000 0.5000 0.0000
5 Pu 0.0000 0.0000 0.5000
6 Pu 0.0000 0.5000 0.0000
7 Pu 0.5000 0.0000 0.0000
8 Pu 0.5000 0.5000 0.5000
9 Co 0.2500 0.2500 0.7500
10 Co 0.2500 0.7500 0.2500
11 Co 0.7500 0.2500 0.2500
12 Co 0.7500 0.7500 0.7500
13 Rh 0.2500 0.2500 0.2500
14 Rh 0.2500 0.7500 0.7500
15 Rh 0.7500 0.2500 0.7500
16 Rh 0.7500 0.7500 0.2500

Results
DOS at the Fermi energy (states/eV per atom): 1.8647
Mass density (Mg/m³): 12.86
ΔH_f (0 K) (kJ/mol of atoms): -35.5
E_tot (eV per formula unit): -34.78



[8]
A plane-wave DFT calculation with PBE-GGA was carried out for an optimized crystal structure of Li2TaW.

Unit cell a=2.9608 b=4.4081 c=5.0957 alpha=90.00 beta=90.00 gamma=90.00
Atoms (fractional coordinates):
1 Li 0.0000 0.0000 0.0000
2 Li 0.5000 0.5000 0.0000
3 Ta 0.0000 0.5000 0.5000
4 W 0.5000 0.0000 0.5000

Results
DOS at the Fermi energy (states/eV per atom): 0.4788
Mass density (Mg/m³): 9.45
ΔH_f (0 K) (kJ/mol of atoms): 40.9
E_tot (eV per formula unit): -26.94



[9]
A plane-wave DFT calculation with PBE-GGA was carried out for an optimized crystal structure of Ac2InAg3.

Unit cell a=9.9788 b=9.5397 c=6.3284 alpha=74.89 beta=67.36 gamma=37.75
Atoms (fractional coordinates):
1 Ac 0.2427 0.7573 0.7573
2 Ac 0.2500 0.2500 0.2500
3 Ac 0.7500 0.7500 0.7500
4 Ac 0.7573 0.2427 0.2427
5 In 0.3341 0.3341 0.6659
6 In 0.6659 0.6659 0.3341
7 Ag 0.1671 0.1671 0.8329
8 Ag 0.1681 0.6675 0.3325
9 Ag 0.3325 0.8319 0.1681
10 Ag 0.6675 0.1681 0.8319
11 Ag 0.8319 0.3325 0.6675
12 Ag 0.8329 0.8329 0.1671

Results
DOS at the Fermi energy (states/eV per atom): 0.7578
Mass density (Mg/m³): 8.73
ΔH_f (0 K) (kJ/mol of atoms): -31.7
E_tot (eV per formula unit): -21.48



[10]
A plane-wave DFT calculation with PBE-GGA was carried out for an optimized crystal structure of Ta3C.

Unit cell a=4.2659 b=4.2659 c=3.3318 alpha=90.00 beta=90.00 gamma=90.00
Atoms (fractional coordinates):
1 Ta 0.0000 0.0000 0.0000
2 Ta 0.0000 0.5000 0.5000
3 Ta 0.5000 0.0000 0.5000
4 C 0.5000 0.5000 0.0000

Results
DOS at the Fermi energy (states/eV per atom): 0.5334
Mass density (Mg/m³): 15.20
ΔH_f (0 K) (kJ/mol of atoms): 81.9
E_tot (eV per formula unit): -41.39



[11]
A plane-wave DFT calculation with PBE-GGA was carried out for an optimized crystal structure of Ho7Zn3.

Unit cell a=9.7441 b=9.7441 c=6.5149 alpha=90.00 beta=90.00 gamma=120.00
Atoms (fractional coordinates):
1 Ho 0.0688 0.5344 0.0000
2 Ho 0.1260 0.2520 0.7206
3 Ho 0.1260 0.8740 0.7206
4 Ho 0.2520 0.1260 0.2206
5 Ho 0.3333 0.6667 0.5712
6 Ho 0.4656 0.5344 0.0000
7 Ho 0.4656 0.9312 0.0000
8 Ho 0.5344 0.0688 0.5000
9 Ho 0.5344 0.4656 0.5000
10 Ho 0.6667 0.3333 0.0712
11 Ho 0.7480 0.8740 0.7206
12 Ho 0.8740 0.1260 0.2206
13 Ho 0.8740 0.7480 0.2206
14 Ho 0.9312 0.4656 0.5000
15 Zn 0.1998 0.3996 0.2906
16 Zn 0.1998 0.8002 0.2906
17 Zn 0.3996 0.1998 0.7906
18 Zn 0.6004 0.8002 0.2906
19 Zn 0.8002 0.1998 0.7906
20 Zn 0.8002 0.6004 0.7906

Results
DOS at the Fermi energy (states/eV per atom): 1.2825
Mass density (Mg/m³): 8.37
ΔH_f (0 K) (kJ/mol of atoms): -13.1
E_tot (eV per formula unit): -37.22



[12]
A plane-wave DFT calculation with PBE-GGA was carried out for an optimized crystal structure of Rb2AgBr4.

Unit cell a=5.3993 b=5.3993 c=17.4813 alpha=90.00 beta=90.00 gamma=90.00
Atoms (fractional coordinates):
1 Rb 0.0000 0.0000 0.1404
2 Rb 0.0000 0.0000 0.8596
3 Rb 0.5000 0.5000 0.3596
4 Rb 0.5000 0.5000 0.6404
5 Ag 0.0000 0.0000 0.5000
6 Ag 0.5000 0.5000 0.0000
7 Br 0.0000 0.0000 0.3395
8 Br 0.0000 0.0000 0.6605
9 Br 0.0000 0.5000 0.0000
10 Br 0.0000 0.5000 0.5000
11 Br 0.5000 0.0000 0.0000
12 Br 0.5000 0.0000 0.5000
13 Br 0.5000 0.5000 0.1605
14 Br 0.5000 0.5000 0.8395

Results
DOS at the Fermi energy (states/eV per atom): 0.6510
Mass density (Mg/m³): 3.90
E_tot (eV per formula unit): -19.18



[13]
A plane-wave DFT calculation with PBE-GGA was carried out for an optimized crystal structure of Y2SbIr.

Unit cell a=3.4825 b=3.4825 c=8.1682 alpha=90.00 beta=90.00 gamma=90.00
Atoms (fractional coordinates):
1 Y 0.0000 0.0000 0.0000
2 Y 0.5000 0.5000 0.3557
3 Sb 0.5000 0.5000 0.7413
4 Ir 0.0000 0.0000 0.5777

Results
DOS at the Fermi energy (states/eV per atom): 1.2484
Mass density (Mg/m³): 8.24
E_tot (eV per formula unit): -27.19



[14]
A plane-wave DFT calculation with PBE-GGA was carried out for an optimized crystal structure of Pr8Pt3CBr4.

Unit cell a=9.0891 b=9.0891 c=9.0891 alpha=54.91 beta=54.91 gamma=54.91
Atoms (fractional coordinates):
1 Pr 0.2332 0.2332 0.2332
2 Pr 0.2531 0.7191 0.7191
3 Pr 0.2809 0.2809 0.7469
4 Pr 0.2809 0.7469 0.2809
5 Pr 0.7191 0.2531 0.7191
6 Pr 0.7191 0.7191 0.2531
7 Pr 0.7469 0.2809 0.2809
8 Pr 0.7668 0.7668 0.7668
9 Pt 0.0000 0.0000 0.5000
10 Pt 0.0000 0.5000 0.0000
11 Pt 0.5000 0.0000 0.0000
12 C 0.5000 0.5000 0.5000
13 Br 0.0000 0.0000 0.0000
14 Br 0.0000 0.5000 0.5000
15 Br 0.5000 0.0000 0.5000
16 Br 0.5000 0.5000 0.0000

Results
DOS at the Fermi energy (states/eV per atom): 0.8510
Mass density (Mg/m³): 7.25
E_tot (eV per formula unit): -89.50



[15]
A plane-wave DFT calculation with PBE-GGA was carried out for an optimized crystal structure of BaCuPb2.

Unit cell a=5.2851 b=5.3587 c=8.1810 alpha=90.00 beta=90.00 gamma=90.00
Atoms (fractional coordinates):
1 Ba 0.0000 0.0000 0.0000
2 Ba 0.5000 0.5000 0.0000
3 Cu 0.0000 0.0000 0.5000
4 Cu 0.5000 0.5000 0.5000
5 Pb 0.0000 0.5000 0.3117
6 Pb 0.0000 0.5000 0.6883
7 Pb 0.5000 0.0000 0.3117
8 Pb 0.5000 0.0000 0.6883

Results
DOS at the Fermi energy (states/eV per atom): 0.4671
Mass density (Mg/m³): 8.82
ΔH_f (0 K) (kJ/mol of atoms): -3.7
E_tot (eV per formula unit): -13.59



[16]
A plane-wave DFT calculation with PBE-GGA was carried out for an optimized crystal structure of SrTaBe2.

Unit cell a=3.8293 b=3.0941 c=12.6152 alpha=90.00 beta=90.00 gamma=90.00
Atoms (fractional coordinates):
1 Sr 0.0000 0.0000 0.0000
2 Sr 0.0000 0.5000 0.5000
3 Ta 0.5000 0.0000 0.7096
4 Ta 0.5000 0.5000 0.2096
5 Be 0.0000 0.0000 0.2681
6 Be 0.0000 0.5000 0.7681
7 Be 0.5000 0.0000 0.3554
8 Be 0.5000 0.5000 0.8554

Results
DOS at the Fermi energy (states/eV per atom): 0.4760
Mass density (Mg/m³): 6.37
ΔH_f (0 K) (kJ/mol of atoms): 47.6
E_tot (eV per formula unit): -19.01



[17]
A plane-wave DFT calculation with PBE-GGA was carried out for an optimized crystal structure of NbSi3Ag.

Unit cell a=4.8773 b=4.8773 c=4.8773 alpha=90.00 beta=90.00 gamma=90.00
Atoms (fractional coordinates):
1 Nb 0.0000 0.0000 0.0000
2 Si 0.0000 0.0000 0.5000
3 Si 0.0000 0.5000 0.0000
4 Si 0.5000 0.0000 0.0000
5 Ag 0.5000 0.5000 0.5000

Results
DOS at the Fermi energy (states/eV per atom): 0.5827
Mass density (Mg/m³): 4.08
E_tot (eV per formula unit): -25.47



[18]
A plane-wave DFT calculation with PBE-GGA was carried out for an optimized crystal structure of TmAlSn.

Unit cell a=4.5069 b=4.5069 c=4.0041 alpha=90.00 beta=90.00 gamma=120.00
Atoms (fractional coordinates):
1 Tm 0.0000 0.0000 0.0000
2 Al 0.3333 0.6667 0.5733
3 Sn 0.6667 0.3333 0.4579

Results
DOS at the Fermi energy (states/eV per atom): 0.2104
Mass density (Mg/m³): 7.42
ΔH_f (0 K) (kJ/mol of atoms): -33.3
E_tot (eV per formula unit): -13.25



[19]
A plane-wave DFT calculation with PBE-GGA was carried out for an optimized crystal structure of La2B10Mo.

Unit cell a=5.8965 b=11.7425 c=4.2149 alpha=90.00 beta=90.00 gamma=90.00
Atoms (fractional coordinates):
1 La 0.2082 0.1381 0.0000
2 La 0.2918 0.6381 0.0000
3 La 0.7082 0.3619 0.0000
4 La 0.7918 0.8619 0.0000
5 B 0.0706 0.3055 0.5000
6 B 0.1165 0.9566 0.5000
7 B 0.1246 0.8024 0.5000
8 B 0.2308 0.3797 0.2019
9 B 0.2308 0.3797 0.7981
10 B 0.2692 0.8797 0.2019
11 B 0.2692 0.8797 0.7981
12 B 0.3754 0.3024 0.5000
13 B 0.3835 0.4566 0.5000
14 B 0.4294 0.8055 0.5000
15 B 0.5706 0.1945 0.5000
16 B 0.6165 0.5434 0.5000
17 B 0.6246 0.6976 0.5000
18 B 0.7308 0.1203 0.2019
19 B 0.7308 0.1203 0.7981
20 B 0.7692 0.6203 0.2019
21 B 0.7692 0.6203 0.7981
22 B 0.8754 0.1976 0.5000
23 B 0.8835 0.0434 0.5000
24 B 0.9294 0.6945 0.5000
25 Mo 0.0000 0.5000 0.5000
26 Mo 0.5000 0.0000 0.5000

Results
DOS at the Fermi energy (states/eV per atom): 0.3760
Mass density (Mg/m³): 5.48
ΔH_f (0 K) (kJ/mol of atoms): -38.5
E_tot (eV per formula unit): -92.64



[20]
A plane-wave DFT calculation with PBE-GGA was carried out for an optimized crystal structure of RbCuAgSe.

Unit cell a=4.0238 b=4.0238 c=13.1021 alpha=90.00 beta=90.00 gamma=90.00
Atoms (fractional coordinates):
1 Rb 0.2500 0.2500 0.2466
2 Rb 0.7500 0.7500 0.7534
3 Cu 0.2500 0.7500 0.5000
4 Cu 0.7500 0.2500 0.5000
5 Ag 0.2500 0.7500 0.0000
6 Ag 0.7500 0.2500 0.0000
7 Se 0.2500 0.2500 0.6120
8 Se 0.7500 0.7500 0.3880

Results
DOS at the Fermi energy (states/eV per atom): 0.3829
Mass density (Mg/m³): 5.26
E_tot (eV per formula unit): -12.73



[21]
A plane-wave DFT calculation with PBE-GGA was carried out for an optimized crystal structure of Ac2Pr2Pb3.

Unit cell a=11.5690 b=5.2319 c=9.3902 alpha=90.00 beta=101.01 gamma=90.00
Atoms (fractional coordinates):
1 Ac 0.1258 0.0000 0.3519
2 Ac 0.3742 0.5000 0.6481
3 Ac 0.6258 0.5000 0.3519
4 Ac 0.8742 0.0000 0.6481
5 Pr 0.1455 0.5000 0.9290
6 Pr 0.3545 0.0000 0.0710
7 Pr 0.6455 0.0000 0.9290
8 Pr 0.8545 0.5000 0.0710
9 Pb 0.0000 0.0000 0.0000
10 Pb 0.1984 0.0000 0.7230
11 Pb 0.3016 0.5000 0.2770
12 Pb 0.5000 0.5000 0.0000
13 Pb 0.6984 0.5000 0.7230
14 Pb 0.8016 0.0000 0.2770

Results
DOS at the Fermi energy (states/eV per atom): 0.7706
Mass density (Mg/m³): 8.08
ΔH_f (0 K) (kJ/mol of atoms): -36.8
E_tot (eV per formula unit): -31.57



[22]
A plane-wave DFT calculation with PBE-GGA was carried out for an optimized crystal structure of Sm2PuSi3Pt4.

Unit cell a=4.2247 b=4.2247 c=10.8357 alpha=90.00 beta=90.00 gamma=90.00
Atoms (fractional coordinates):
1 Sm 0.0000 0.5000 0.2311
2 Sm 0.5000 0.0000 0.7689
3 Pu 0.0000 0.0000 0.5000
4 Si 0.0000 0.5000 0.8808
5 Si 0.5000 0.0000 0.1192
6 Si 0.5000 0.5000 0.5000
7 Pt 0.0000 0.0000 0.0000
8 Pt 0.0000 0.5000 0.6610
9 Pt 0.5000 0.0000 0.3390
10 Pt 0.5000 0.5000 0.0000

Results
DOS at the Fermi energy (states/eV per atom): 1.5509
Mass density (Mg/m³): 12.10
E_tot (eV per formula unit): -71.93



[23]
A plane-wave DFT calculation with PBE-GGA was carried out for an optimized crystal structure of BaOsS2.

Unit cell a=6.9005 b=6.9005 c=6.9005 alpha=90.00 beta=90.00 gamma=90.00
Atoms (fractional coordinates):
1 Ba 0.0000 0.0000 0.0000
2 Ba 0.0000 0.5000 0.5000
3 Ba 0.5000 0.0000 0.5000
4 Ba 0.5000 0.5000 0.0000
5 Os 0.0000 0.0000 0.5000
6 Os 0.0000 0.5000 0.0000
7 Os 0.5000 0.0000 0.0000
8 Os 0.5000 0.5000 0.5000
9 S 0.2500 0.2500 0.2500
10 S 0.2500 0.2500 0.7500
11 S 0.2500 0.7500 0.2500
12 S 0.2500 0.7500 0.7500
13 S 0.7500 0.2500 0.2500
14 S 0.7500 0.2500 0.7500
15 S 0.7500 0.7500 0.2500
16 S 0.7500 0.7500 0.7500

Results
DOS at the Fermi energy (states/eV per atom): 1.4196
Mass density (Mg/m³): 7.92
E_tot (eV per formula unit): -20.49



[24]
A plane-wave DFT calculation with PBE-GGA was carried out for an optimized crystal structure of SiSN2F.

Unit cell a=3.6311 b=3.6311 c=5.7205 alpha=90.00 beta=90.00 gamma=90.00
Atoms (fractional coordinates):
1 Si 0.0000 0.0000 0.0000
2 S 0.5000 0.5000 0.0000
3 N 0.0000 0.5000 0.5000
4 N 0.5000 0.0000 0.5000
5 F 0.5000 0.5000 0.5000

Results
DOS at the Fermi energy (states/eV per atom): 0.6094
Mass density (Mg/m³): 2.36
E_tot (eV per formula unit): -17.30